No. 1
Computed, not measured: a PBEsol-optimized structure of Mn2RuPb at the SCAN level of DFT. Values from VASP.

Geometry as Quantum ESPRESSO input:
```
&SYSTEM
  ibrav = 0, nat = 4, ntyp = 3
/
ATOMIC_SPECIES
Mn 54.94 Mn.upf
Ru 101.07 Ru.upf
Pb 207.20 Pb.upf
CELL_PARAMETERS angstrom
0.0000 3.1057 3.1057
3.1057 0.0000 3.1057
3.1057 3.1057 0.0000
ATOMIC_POSITIONS angstrom
Mn 0.0000 0.0000 0.0000
Mn 1.5529 1.5529 1.5529
Ru 4.6586 4.6586 4.6586
Pb 3.1057 3.1057 3.1057
```

Output
The total energy comes out at -146.8 eV per cell. Its density of states at the Fermi level is 2.5 states/eV per cell. The energy relative to the elements comes out at 88 meV per atom. The crystal system is cubic. As for the magnetic moment: 0.8 Bohr magnetons per cell.

=====

No. 2
Computed, not measured: a PBEsol-optimized structure of Cd3Cu5 at the SCAN level of DFT. Values from VASP.

Geometry as Quantum ESPRESSO input:
```
&SYSTEM
  ibrav = 0, nat = 8, ntyp = 2
/
ATOMIC_SPECIES
Cd 112.41 Cd.upf
Cu 63.55 Cu.upf
CELL_PARAMETERS angstrom
2.9985 0.0000 0.0000
0.0000 2.9985 0.0000
0.0000 0.0000 12.7455
ATOMIC_POSITIONS angstrom
Cd 0.0000 0.0000 0.0000
Cd 1.4993 1.4993 4.6594
Cd 1.4993 1.4993 8.0861
Cu 0.0000 0.0000 2.9548
Cu 0.0000 0.0000 6.3727
Cu 0.0000 0.0000 9.7907
Cu 1.4993 1.4993 1.7032
Cu 1.4993 1.4993 11.0423
```

Output
The total energy comes out at -166.7 eV per cell. Its density of states at the Fermi level is 2.5 states/eV per cell. The energy relative to the elements comes out at 67 meV per atom. The crystal system is tetragonal. As for the magnetic moment: 0.0 Bohr magnetons per cell.

=====

No. 3
Computed, not measured: a PBEsol-optimized structure of Cr3PtAu at the SCAN level of DFT. Values from VASP.

Geometry as Quantum ESPRESSO input:
```
&SYSTEM
  ibrav = 0, nat = 5, ntyp = 3
/
ATOMIC_SPECIES
Cr 52.00 Cr.upf
Pt 195.08 Pt.upf
Au 196.97 Au.upf
CELL_PARAMETERS angstrom
4.7269 0.0000 0.0000
0.0000 4.7269 0.0000
0.0000 0.0000 4.7269
ATOMIC_POSITIONS angstrom
Cr 0.0000 0.0000 2.3634
Cr 0.0000 2.3634 0.0000
Cr 2.3634 0.0000 0.0000
Pt 0.0000 0.0000 0.0000
Au 2.3634 2.3634 2.3634
```

Output
The total energy comes out at -190.6 eV per cell. Its density of states at the Fermi level is 5.9 states/eV per cell. The energy relative to the elements comes out at 784 meV per atom. The crystal system is cubic. As for the magnetic moment: 12.1 Bohr magnetons per cell.

=====

No. 4
Computed, not measured: a PBEsol-optimized structure of TeIrSe2Br at the SCAN level of DFT. Values from VASP.

Geometry as Quantum ESPRESSO input:
```
&SYSTEM
  ibrav = 0, nat = 5, ntyp = 4
/
ATOMIC_SPECIES
Te 127.60 Te.upf
Ir 192.22 Ir.upf
Se 78.96 Se.upf
Br 79.90 Br.upf
CELL_PARAMETERS angstrom
5.2306 0.0000 0.0000
0.0000 5.2306 0.0000
0.0000 0.0000 5.2724
ATOMIC_POSITIONS angstrom
Te 0.0000 0.0000 0.0000
Ir 2.6153 2.6153 2.6362
Se 0.0000 2.6153 0.0000
Se 2.6153 0.0000 0.0000
Br 0.0000 0.0000 2.6362
```

Output
The value obtained for the energy relative to the elements, uncorrected is 1.408 eV per atom. The total energy comes out at -160.9 eV per cell. Its density of states at the Fermi level is 3.6 states/eV per cell. The crystal system is tetragonal. As for the magnetic moment: 3.4 Bohr magnetons per cell.

=====

No. 5
Computed, not measured: a PBEsol-optimized structure of Ta2Si2Os at the SCAN level of DFT. Values from VASP.

Geometry as Quantum ESPRESSO input:
```
&SYSTEM
  ibrav = 0, nat = 10, ntyp = 3
/
ATOMIC_SPECIES
Ta 180.95 Ta.upf
Si 28.09 Si.upf
Os 190.23 Os.upf
CELL_PARAMETERS angstrom
6.0512 0.0000 0.0000
0.0000 6.0512 0.0000
0.0000 0.0000 4.0704
ATOMIC_POSITIONS angstrom
Ta 0.9700 2.0556 0.0000
Ta 2.0556 5.0812 0.0000
Ta 3.9956 0.9700 0.0000
Ta 5.0812 3.9956 0.0000
Si 0.8297 3.8554 2.0352
Si 2.1959 0.8297 2.0352
Si 3.8554 5.2215 2.0352
Si 5.2215 2.1959 2.0352
Os 0.0000 0.0000 2.0352
Os 3.0256 3.0256 2.0352
```

Output
The value obtained for the energy relative to the elements, uncorrected is -0.520 eV per atom. The total energy comes out at -455.4 eV per cell. Its density of states at the Fermi level is 1.1 states/eV per cell. The crystal system is tetragonal. As for the magnetic moment: 0.0 Bohr magnetons per cell.

=====

No. 6
Computed, not measured: a PBEsol-optimized structure of K3HoCl6 at the SCAN level of DFT. Values from VASP.

Geometry as Quantum ESPRESSO input:
```
&SYSTEM
  ibrav = 0, nat = 40, ntyp = 3
/
ATOMIC_SPECIES
K 39.10 K.upf
Ho 164.93 Ho.upf
Cl 35.45 Cl.upf
CELL_PARAMETERS angstrom
12.9321 0.0000 0.0000
0.0000 7.6827 0.0000
-4.1916 0.0000 11.6472
ATOMIC_POSITIONS angstrom
K -0.1255 0.3313 4.3615
K -2.2213 3.5101 10.1851
K 0.8563 0.4282 8.9620
K 2.9521 3.4132 3.1384
K 1.6115 4.4621 7.1115
K 3.7073 7.0620 1.2880
K 5.0332 0.6207 10.3592
K 7.1290 3.2206 4.5356
K 5.7884 4.2695 8.5087
K 7.8842 7.2545 2.6852
K 10.9618 4.1726 1.4621
K 8.8660 7.3514 7.2857
Ho 0.0000 0.0000 0.0000
Ho -2.0958 3.8414 5.8236
Ho 4.3702 0.0000 5.8236
Ho 6.4660 3.8414 0.0000
Cl -2.2629 0.2406 9.9416
Cl -0.1671 3.6007 4.1180
Cl 1.0556 5.4337 0.8784
Cl -1.0402 6.0904 6.7020
Cl 1.3602 1.3110 1.7541
Cl -0.7356 2.5304 7.5777
Cl 0.5907 5.3940 10.3916
Cl 2.6865 6.1301 4.5680
Cl 2.4769 1.7793 5.8362
Cl 4.5727 2.0621 0.0126
Cl 5.6336 4.8470 2.2740
Cl 3.5378 6.6771 8.0976
Cl 5.2027 1.0056 3.5495
Cl 3.1069 2.8357 9.3731
Cl 4.1678 5.6206 11.6346
Cl 6.2636 5.9034 5.8110
Cl 6.0540 1.5526 7.0791
Cl 8.1498 2.2887 1.2556
Cl 9.4761 5.1523 4.0695
Cl 7.3803 6.3717 9.8930
Cl 9.7807 1.5923 4.9452
Cl 7.6849 2.2491 10.7688
Cl 8.9076 4.0820 7.5291
Cl 11.0034 7.4421 1.7056
```

Output
The value obtained for the energy relative to the elements, uncorrected is -2.374 eV per atom. The total energy comes out at -582.3 eV per cell. Its density of states at the Fermi level is 0.0 states/eV per cell. The crystal system is monoclinic. As for the magnetic moment: 0.0 Bohr magnetons per cell.

=====

No. 7
Computed, not measured: a PBEsol-optimized structure of ReSiPb2 at the SCAN level of DFT. Values from VASP.

Geometry as Quantum ESPRESSO input:
```
&SYSTEM
  ibrav = 0, nat = 4, ntyp = 3
/
ATOMIC_SPECIES
Re 186.21 Re.upf
Si 28.09 Si.upf
Pb 207.20 Pb.upf
CELL_PARAMETERS angstrom
1.6829 -2.5126 0.0000
1.6829 2.5126 0.0000
0.0000 0.0000 10.0001
ATOMIC_POSITIONS angstrom
Re 0.0000 0.0000 0.0000
Si 0.0000 0.0000 5.0000
Pb 1.6829 0.0000 2.3346
Pb 1.6829 0.0000 7.6655
```

Output
The value obtained for the energy relative to the elements, uncorrected is 1.185 eV per atom. The total energy comes out at -227.9 eV per cell. Its density of states at the Fermi level is 3.0 states/eV per cell. The crystal system is orthorhombic. As for the magnetic moment: 1.2 Bohr magnetons per cell.

=====

No. 8
Computed, not measured: a PBEsol-optimized structure of Li2CoSiO4 at the SCAN level of DFT. Values from VASP.

Geometry as Quantum ESPRESSO input:
```
&SYSTEM
  ibrav = 0, nat = 16, ntyp = 4
/
ATOMIC_SPECIES
Li 6.94 Li.upf
Co 58.93 Co.upf
Si 28.09 Si.upf
O 16.00 O.upf
CELL_PARAMETERS angstrom
6.0826 0.0000 0.0000
0.0000 5.3772 0.0000
0.0000 0.0000 4.9159
ATOMIC_POSITIONS angstrom
Li 1.5098 0.8958 0.0000
Li 1.5315 4.4813 2.4580
Li 4.5511 4.4813 2.4580
Li 4.5728 0.8958 0.0000
Co 0.0000 1.8206 2.4489
Co 3.0413 3.5566 4.9069
Si 0.0000 3.6026 4.8839
Si 3.0413 1.7746 2.4260
O 0.0000 2.0380 0.4897
O 0.0000 3.6041 3.2367
O 1.3430 4.3999 0.5016
O 1.6983 0.9773 2.9596
O 3.0413 1.7731 0.7787
O 3.0413 3.3392 2.9476
O 4.3843 0.9773 2.9596
O 4.7396 4.3999 0.5016
```

Output
The value obtained for the energy relative to the elements, uncorrected is -2.383 eV per atom. The total energy comes out at -152.2 eV per cell. Its density of states at the Fermi level is 0.0 states/eV per cell. The crystal system is orthorhombic. As for the magnetic moment: 6.0 Bohr magnetons per cell.

=====

No. 9
Computed, not measured: a PBEsol-optimized structure of Cs2HgI2 at the SCAN level of DFT. Values from VASP.

Geometry as Quantum ESPRESSO input:
```
&SYSTEM
  ibrav = 0, nat = 10, ntyp = 3
/
ATOMIC_SPECIES
Cs 132.91 Cs.upf
Hg 200.59 Hg.upf
I 126.90 I.upf
CELL_PARAMETERS angstrom
10.2272 0.0000 0.0000
0.0000 10.2272 0.0000
0.0000 0.0000 4.6149
ATOMIC_POSITIONS angstrom
Cs 1.4635 3.6501 0.0000
Cs 3.6501 8.7637 0.0000
Cs 6.5771 1.4635 0.0000
Cs 8.7637 6.5771 0.0000
Hg 0.0000 0.0000 0.0000
Hg 5.1136 5.1136 0.0000
I 1.5895 6.7031 2.3075
I 3.5241 1.5895 2.3075
I 6.7031 8.6377 2.3075
I 8.6377 3.5241 2.3075
```

Output
The value obtained for the energy relative to the elements, uncorrected is -1.304 eV per atom. The total energy comes out at -447.6 eV per cell. Its density of states at the Fermi level is 0.0 states/eV per cell. The crystal system is tetragonal. As for the magnetic moment: 0.0 Bohr magnetons per cell.

=====

No. 10
Computed, not measured: a PBEsol-optimized structure of Cs2AlTlBr6 at the SCAN level of DFT. Values from VASP.

Geometry as Quantum ESPRESSO input:
```
&SYSTEM
  ibrav = 0, nat = 10, ntyp = 4
/
ATOMIC_SPECIES
Cs 132.91 Cs.upf
Al 26.98 Al.upf
Tl 204.38 Tl.upf
Br 79.90 Br.upf
CELL_PARAMETERS angstrom
0.0000 5.5914 5.5914
5.5914 0.0000 5.5914
5.5914 5.5914 0.0000
ATOMIC_POSITIONS angstrom
Cs 2.7957 2.7957 2.7957
Cs 8.3871 8.3871 8.3871
Al 0.0000 0.0000 0.0000
Tl 5.5914 5.5914 5.5914
Br 5.5914 5.5914 2.5032
Br 5.5914 2.5032 5.5914
Br 8.6797 5.5914 5.5914
Br 2.5032 5.5914 5.5914
Br 5.5914 8.6797 5.5914
Br 5.5914 5.5914 8.6797
```

Output
The value obtained for the energy relative to the elements, uncorrected is -1.497 eV per atom. The total energy comes out at -287.5 eV per cell. Its density of states at the Fermi level is 0.0 states/eV per cell. The crystal system is cubic. As for the magnetic moment: 0.0 Bohr magnetons per cell.

=====

No. 11
Computed, not measured: a PBEsol-optimized structure of KBeNi2Au at the SCAN level of DFT. Values from VASP.

Geometry as Quantum ESPRESSO input:
```
&SYSTEM
  ibrav = 0, nat = 5, ntyp = 4
/
ATOMIC_SPECIES
K 39.10 K.upf
Be 9.01 Be.upf
Ni 58.69 Ni.upf
Au 196.97 Au.upf
CELL_PARAMETERS angstrom
4.0831 0.0000 0.0000
0.0000 4.0831 0.0000
0.0000 0.0000 4.9134
ATOMIC_POSITIONS angstrom
K 0.0000 0.0000 0.0000
Be 0.0000 0.0000 2.4567
Ni 0.0000 2.0415 2.4567
Ni 2.0415 0.0000 2.4567
Au 2.0415 2.0415 0.0000
```

Output
The total energy comes out at -110.1 eV per cell. Its density of states at the Fermi level is 1.4 states/eV per cell. The energy relative to the elements comes out at 820 meV per atom. The crystal system is tetragonal. As for the magnetic moment: 0.0 Bohr magnetons per cell.